Density functional theory data (SCAN) for ErCoC6N6 at its PBEsol-relaxed geometry.

```
data_ErCoC6N6
_chemical_formula_sum 'Er2 Co2 C12 N12'
_cell_length_a 7.329
_cell_length_b 7.329
_cell_length_c 12.850
_cell_angle_alpha 90.00
_cell_angle_beta 90.00
_cell_angle_gamma 120.00
_symmetry_space_group_name_H-M 'P 1'
_symmetry_Int_Tables_number 1
loop_
_symmetry_equiv_pos_as_xyz
'x,y,z'
loop_
_atom_site_label
_atom_site_type_symbol
_atom_site_fract_x
_atom_site_fract_y
_atom_site_fract_z
_atom_site_occupancy
C1 C 0.882 0.764 0.917 1
C2 C 0.118 0.882 0.083 1
N1 N 0.192 0.808 0.137 1
N2 N 0.384 0.192 0.863 1
C3 C 0.882 0.764 0.583 1
N3 N 0.192 0.384 0.363 1
Co1 Co 0.000 0.000 0.000 1
C4 C 0.236 0.118 0.583 1
N4 N 0.192 0.384 0.137 1
N5 N 0.616 0.808 0.363 1
Co2 Co 0.000 0.000 0.500 1
C5 C 0.118 0.882 0.417 1
C6 C 0.764 0.882 0.083 1
C7 C 0.764 0.882 0.417 1
N6 N 0.192 0.808 0.363 1
C8 C 0.236 0.118 0.917 1
Er1 Er 0.333 0.667 0.250 1
N7 N 0.384 0.192 0.637 1
C9 C 0.118 0.236 0.083 1
N8 N 0.616 0.808 0.137 1
N9 N 0.808 0.616 0.863 1
N10 N 0.808 0.192 0.637 1
C10 C 0.882 0.118 0.583 1
C11 C 0.118 0.236 0.417 1
Er2 Er 0.667 0.333 0.750 1
C12 C 0.882 0.118 0.917 1
N11 N 0.808 0.192 0.863 1
N12 N 0.808 0.616 0.637 1
```

Computed properties:
- Energy relative to the elements, uncorrected: -0.143 eV/atom
- DFT total energy: -13.285 eV/atom
- DOS(E_F): 0.00 states/eV/atom